Below is Tb8Pr4Ho after structural relaxation, with properties calculated at the PBE level.

Geometry as extended XYZ:
```
13
Lattice="-3.607 5.749 -3.938 -4.959 0.975 6.003 4.908 5.232 3.180" Properties=species:S:1:pos:R:3 pbc="T T T"
Tb -3.454 3.366 4.376
Tb -5.336 6.376 2.337
Tb -0.205 8.590 0.869
Tb -0.908 6.107 6.039
Tb -2.782 9.091 3.988
Tb -0.877 2.865 1.257
Tb -2.751 5.849 -0.793
Tb 1.677 5.580 2.908
Pr 0.650 5.491 -0.379
Pr -0.026 3.103 4.592
Pr -4.283 3.362 1.033
Pr 0.000 0.000 0.000
Ho -1.829 5.978 2.623
```

Computed properties:
* D(E_F): 23.02 states/eV per cell
* space group: R-3m
* ΔE_f: 513.1 meV/atom

---

Below is YMnCu2 after structural relaxation, with properties calculated at the PBE level.

Geometry as extended XYZ:
```
4
Lattice="4.121 -0.640 0.498 2.593 3.267 0.498 1.633 0.639 4.973" Properties=species:S:1:pos:R:3 pbc="T T T"
Cu 6.627 2.594 1.665
Cu 2.090 0.818 1.466
Mn 4.260 1.667 2.316
Y 6.258 2.449 4.502
```

Computed properties:
* D(E_F): 2.46 states/eV per cell
* space group: R3m
* ΔE_f: 26.4 meV/atom

---

Below is Pm2AlCd after structural relaxation, with properties calculated at the PBE level.

Geometry as extended XYZ:
```
4
Lattice="5.338 0.000 0.000 2.669 4.623 0.000 2.669 1.541 4.359" Properties=species:S:1:pos:R:3 pbc="T T T"
Cd 8.007 4.623 3.269
Al 2.669 1.541 1.090
Pm 5.338 3.082 2.179
Pm 0.000 0.000 0.000
```

Computed properties:
* D(E_F): 3.57 states/eV per cell
* space group: Fm-3m
* ΔE_f: -338.9 meV/atom

---

> Which of these has the highest ΔE_f?

Tb8Pr4Ho